Density functional theory data (PBE) for an optimized crystal structure of BeNb2VH.

Properties
The calculation puts the volume at 62.4 Å³/cell. The calculation puts the total energy at -7.29 eV per atom. For the magnetization, the calculation gives 0.00 μB per cell. The density of states at the Fermi level comes out at 3.1 states/eV/f.u.

Cell lengths 4.193, 4.193, 3.548 Å; angles 90.00, 90.00, 90.00 degrees
Fractional coordinates of all 5 atoms:
1 Be 0.500 0.500 0.500
2 Nb 0.000 0.500 0.000
3 Nb 0.500 0.000 0.000
4 H 0.000 0.000 0.000
5 V 0.000 0.000 0.500

---

Density functional theory data (PBE) for an optimized crystal structure of BeNb2ZnH.

Properties
The calculation puts the volume at 62.3 Å³/cell. The calculation puts the total energy at -5.70 eV per atom. For the magnetization, the calculation gives 0.00 μB per cell. The density of states at the Fermi level comes out at 2.5 states/eV/f.u.

Cell lengths 4.074, 4.074, 3.751 Å; angles 90.00, 90.00, 90.00 degrees
Fractional coordinates of all 5 atoms:
1 Be 0.000 0.000 0.500
2 Nb 0.000 0.500 0.000
3 Nb 0.500 0.000 0.000
4 Zn 0.500 0.500 0.500
5 H 0.000 0.000 0.000

---

Density functional theory data (PBE) for an optimized crystal structure of Nd12Be3H5.

Properties
The calculation puts the volume at 1894.3 Å³/cell. The calculation puts the total energy at -4.30 eV per atom. For the magnetization, the calculation gives 0.00 μB per cell. The density of states at the Fermi level comes out at 25.4 states/eV/f.u.

Cell lengths 13.501, 13.501, 13.501 Å; angles 109.47, 109.47, 109.47 degrees
Fractional coordinates of all 80 atoms:
1 Be 0.750 0.375 0.125
2 Be 0.875 0.750 0.125
3 Be 0.375 0.750 0.625
4 Be 0.250 0.125 0.375
5 Be 0.875 0.125 0.250
6 Be 0.375 0.625 0.250
7 Be 0.625 0.375 0.750
8 Be 0.125 0.875 0.750
9 Be 0.750 0.875 0.625
10 Be 0.625 0.250 0.375
11 Be 0.125 0.250 0.875
12 Be 0.250 0.625 0.875
13 Nd 0.715 0.117 0.026
14 Nd 0.311 0.526 0.409
15 Nd 0.974 0.383 0.285
16 Nd 0.526 0.215 0.117
17 Nd 0.598 0.715 0.689
18 Nd 0.974 0.591 0.189
19 Nd 0.311 0.785 0.402
20 Nd 0.091 0.902 0.117
21 Nd 0.591 0.974 0.689
22 Nd 0.715 0.598 0.189
23 Nd 0.785 0.474 0.383
24 Nd 0.811 0.909 0.026
25 Nd 0.117 0.715 0.526
26 Nd 0.383 0.409 0.098
27 Nd 0.098 0.909 0.383
28 Nd 0.402 0.117 0.591
29 Nd 0.098 0.189 0.215
30 Nd 0.474 0.689 0.091
31 Nd 0.811 0.902 0.285
32 Nd 0.117 0.402 0.091
33 Nd 0.383 0.974 0.785
34 Nd 0.591 0.617 0.402
35 Nd 0.909 0.811 0.526
36 Nd 0.785 0.311 0.902
37 Nd 0.409 0.383 0.598
38 Nd 0.091 0.189 0.474
39 Nd 0.215 0.689 0.098
40 Nd 0.189 0.098 0.715
41 Nd 0.617 0.026 0.215
42 Nd 0.883 0.598 0.909
43 Nd 0.526 0.311 0.909
44 Nd 0.598 0.883 0.409
45 Nd 0.902 0.811 0.785
46 Nd 0.902 0.091 0.617
47 Nd 0.883 0.285 0.474
48 Nd 0.189 0.091 0.974
49 Nd 0.617 0.591 0.902
50 Nd 0.409 0.026 0.311
51 Nd 0.285 0.402 0.811
52 Nd 0.215 0.526 0.617
53 Nd 0.909 0.098 0.883
54 Nd 0.689 0.215 0.598
55 Nd 0.474 0.785 0.883
56 Nd 0.026 0.409 0.811
57 Nd 0.402 0.285 0.311
58 Nd 0.026 0.617 0.715
59 Nd 0.689 0.474 0.591
60 Nd 0.285 0.883 0.974
61 H 0.125 0.375 0.250
62 H 0.000 0.500 0.000
63 H 0.000 0.000 0.000
64 H 0.375 0.250 0.125
65 H 0.500 0.000 0.500
66 H 0.500 0.500 0.000
67 H 0.125 0.750 0.375
68 H 0.750 0.125 0.875
69 H 0.750 0.625 0.375
70 H 0.375 0.125 0.750
71 H 0.625 0.875 0.250
72 H 0.500 0.500 0.500
73 H 0.500 0.000 0.000
74 H 0.000 0.000 0.500
75 H 0.250 0.375 0.625
76 H 0.250 0.875 0.125
77 H 0.000 0.500 0.500
78 H 0.875 0.250 0.625
79 H 0.625 0.750 0.875
80 H 0.875 0.625 0.750

---

Density functional theory data (PBE) for an optimized crystal structure of NdBeH4.

Properties
The calculation puts the volume at 122.8 Å³/cell. The calculation puts the total energy at -3.96 eV per atom. For the magnetization, the calculation gives 0.00 μB per cell. The density of states at the Fermi level comes out at 1.4 states/eV/f.u.

Cell lengths 4.417, 4.329, 6.426 Å; angles 90.00, 90.00, 90.00 degrees
Fractional coordinates of all 12 atoms:
1 Nd 0.201 0.027 0.000
2 Nd 0.799 0.527 0.500
3 Be 0.710 0.521 0.000
4 Be 0.290 0.021 0.500
5 H 0.390 0.551 0.000
6 H 0.720 0.192 0.000
7 H 0.883 0.668 0.166
8 H 0.117 0.168 0.334
9 H 0.280 0.692 0.500
10 H 0.610 0.051 0.500
11 H 0.117 0.168 0.666
12 H 0.883 0.668 0.834

---

Density functional theory data (PBE) for an optimized crystal structure of Nd2BeH.

Properties
The calculation puts the volume at 85.1 Å³/cell. The calculation puts the total energy at -4.10 eV per atom. For the magnetization, the calculation gives 0.00 μB per cell. The density of states at the Fermi level comes out at 3.8 states/eV/f.u.

Cell lengths 3.806, 3.806, 7.128 Å; angles 74.51, 74.51, 60.00 degrees
Fractional coordinates of all 4 atoms:
1 Be 0.000 0.000 0.000
2 Nd 0.760 0.760 0.720
3 Nd 0.240 0.240 0.280
4 H 0.500 0.500 0.500

---

Density functional theory data (PBE) for an optimized crystal structure of NdBeH.

Properties
The calculation puts the volume at 91.7 Å³/cell. The calculation puts the total energy at -3.83 eV per atom. For the magnetization, the calculation gives 0.00 μB per cell. The density of states at the Fermi level comes out at 2.0 states/eV/f.u.

Cell lengths 3.183, 3.313, 8.845 Å; angles 90.00, 100.37, 90.00 degrees
Fractional coordinates of all 6 atoms:
1 Be 0.753 0.250 0.505
2 Be 0.247 0.750 0.495
3 Nd 0.900 0.750 0.800
4 Nd 0.100 0.250 0.200
5 H 0.442 0.250 0.883
6 H 0.558 0.750 0.117